{
  "formula": "Ca2CoBr",
  "functional": "PBE-GGA",
  "state": "relaxed",
  "lattice_angstrom": [[0.000, 3.615, 3.615], [3.615, 0.000, 3.615], [3.615, 3.615, 0.000]],
  "species": ["Ca", "Ca", "Co", "Br"],
  "fractional_positions": [[0.000, 0.000, 0.000], [0.250, 0.250, 0.250], [0.750, 0.750, 0.750], [0.500, 0.500, 0.500]],
  "polymorph_energy_mev_per_atom": 760,
  "formation_energy_uncorrected_ev_per_atom": 0.295,
  "sg": "F-43m (216)",
  "final_energy_ev_per_cell": -11.6
}

{
  "formula": "CaCoBr2",
  "functional": "PBE-GGA",
  "state": "relaxed",
  "lattice_angstrom": [[0.000, 3.720, 3.720], [3.720, 0.000, 3.720], [3.720, 3.720, 0.000]],
  "species": ["Ca", "Co", "Br", "Br"],
  "fractional_positions": [[0.000, 0.000, 0.000], [0.750, 0.750, 0.750], [0.250, 0.250, 0.250], [0.500, 0.500, 0.500]],
  "polymorph_energy_mev_per_atom": 663,
  "formation_energy_uncorrected_ev_per_atom": -0.055,
  "sg": "F-43m (216)",
  "final_energy_ev_per_cell": -12.7
}

{
  "formula": "CaCoBr2",
  "functional": "PBE-GGA",
  "state": "relaxed",
  "lattice_angstrom": [[-2.767, 2.767, 6.961], [2.767, -2.767, 6.961], [2.767, 2.767, -6.961]],
  "species": ["Ca", "Ca", "Co", "Co", "Br", "Br", "Br", "Br"],
  "fractional_positions": [[0.000, 0.000, 0.000], [0.750, 0.250, 0.500], [0.250, 0.750, 0.500], [0.500, 0.500, 0.000], [0.187, 0.625, 0.062], [0.375, 0.437, 0.562], [0.563, 0.125, 0.938], [0.875, 0.813, 0.438]],
  "polymorph_energy_mev_per_atom": 230,
  "formation_energy_uncorrected_ev_per_atom": -0.489,
  "sg": "I-42d (122)",
  "final_energy_ev_per_cell": -28.8
}

{
  "formula": "Ca2CoBr",
  "functional": "PBE-GGA",
  "state": "relaxed",
  "lattice_angstrom": [[-1.813, 1.854, 7.780], [1.813, -1.854, 7.780], [1.813, 1.854, -7.780]],
  "species": ["Ca", "Ca", "Co", "Br"],
  "fractional_positions": [[0.000, 0.000, 0.000], [0.789, 0.289, 0.500], [0.370, 0.870, 0.500], [0.616, 0.616, 0.000]],
  "polymorph_energy_mev_per_atom": 83,
  "formation_energy_uncorrected_ev_per_atom": -0.383,
  "sg": "Imm2 (44)",
  "final_energy_ev_per_cell": -14.3
}

{
  "formula": "CaCoBr2",
  "functional": "PBE-GGA",
  "state": "relaxed",
  "lattice_angstrom": [[-2.015, 2.015, 5.784], [2.015, -2.015, 5.784], [2.015, 2.015, -5.784]],
  "species": ["Ca", "Co", "Br", "Br"],
  "fractional_positions": [[0.000, 0.000, 0.000], [0.250, 0.750, 0.500], [0.500, 0.500, 0.000], [0.750, 0.250, 0.500]],
  "polymorph_energy_mev_per_atom": 344,
  "formation_energy_uncorrected_ev_per_atom": -0.374,
  "sg": "I-4m2 (119)",
  "final_energy_ev_per_cell": -14.0
}

{
  "formula": "CaCoBr2",
  "functional": "PBE-GGA",
  "state": "relaxed",
  "lattice_angstrom": [[3.455, -3.677, 0.000], [3.455, 3.677, 0.000], [0.000, 0.000, 3.956]],
  "species": ["Ca", "Co", "Br", "Br"],
  "fractional_positions": [[0.000, 0.000, 0.000], [0.500, 0.500, 0.000], [0.286, 0.714, 0.500], [0.714, 0.286, 0.500]],
  "polymorph_energy_mev_per_atom": 258,
  "formation_energy_uncorrected_ev_per_atom": -0.461,
  "sg": "Cmmm (65)",
  "final_energy_ev_per_cell": -14.3
}

- Which formula does entry 4 have?
  Ca2CoBr